The following is a GGA-PBE calculation of crystalline PmDy7Tl5 at its relaxed geometry, from Alexandria.

CIF file:
```
data_PmDy7Tl5
_chemical_formula_sum 'Pm2 Dy14 Tl10'
_cell_length_a 6.524
_cell_length_b 10.818
_cell_length_c 10.891
_cell_angle_alpha 90.00
_cell_angle_beta 90.00
_cell_angle_gamma 90.00
_symmetry_space_group_name_H-M 'I m m 2'
_symmetry_Int_Tables_number 44
loop_
_symmetry_equiv_pos_as_xyz
'x,y,z'
'-x,-y,z'
'-x,y,z'
'x,-y,z'
'x+1/2,y+1/2,z+1/2'
'-x+1/2,-y+1/2,z+1/2'
'-x+1/2,y+1/2,z+1/2'
'x+1/2,-y+1/2,z+1/2'
loop_
_atom_site_label
_atom_site_type_symbol
_atom_site_fract_x
_atom_site_fract_y
_atom_site_fract_z
Pm1 Pm 0.000 0.000 0.000
Dy1 Dy 0.000 0.000 0.345
Dy2 Dy 0.000 0.000 0.661
Dy3 Dy 0.000 0.305 0.472
Dy4 Dy 0.000 0.341 0.988
Dy5 Dy 0.000 0.500 0.713
Tl1 Tl 0.000 0.500 0.248
Tl2 Tl 0.250 0.240 0.228
```

Summary:
For the density of states at the Fermi level, the calculation gives 1.21 states/eV per atom. The value obtained for the total energy is -3.908 eV per atom. The energy of formation from the pure elements is -194 kJ/mol of formula units. Its calculated volume is 29.6 Å³/atom. Its spin magnetization is 0.06 μB/cell. The density is 9956 kg/m3.